KNaCr2O6 | PBE+U | relaxed

Values from the calculation:
Its density is 2711 kg/m3. Its total energy is -6.2458 eV/atom.

Cell and atoms, written as POSCAR:
```
KNaCr2O6
1.0
5.428 -5.753 0.000
5.428 5.753 0.000
-0.400 0.000 5.140
K Na Cr O
2 2 4 12
Cartesian
5.128 4.482 3.855
5.328 -4.482 1.285
5.328 1.986 1.285
5.128 -1.986 3.855
2.837 0.977 3.765
3.037 -0.977 1.196
7.420 0.977 3.944
7.620 -0.977 1.374
1.194 1.192 3.717
3.761 2.186 4.390
1.394 -1.192 1.147
3.430 0.579 2.068
3.230 -0.579 4.638
6.496 2.186 3.320
3.961 -2.186 1.820
7.227 0.579 0.501
7.027 -0.579 3.071
9.063 1.192 3.993
6.696 -2.186 0.750
9.263 -1.192 1.423
```